An optimized crystal structure of Zr2Tc2Ni. Source: the Alexandria database, functional GGA-PBE.

CIF file:
```
data_Zr2Tc2Ni
_cell_length_a 6.542
_cell_length_b 6.542
_cell_length_c 4.147
_cell_angle_alpha 90.00
_cell_angle_beta 90.00
_cell_angle_gamma 90.00
_symmetry_space_group_name_H-M 'P 4/m b m'
_symmetry_Int_Tables_number 127
_symmetry_space_group_name_Hall '-P 4 2ab'
loop_
_atom_site_label
_atom_site_type_symbol
_atom_site_fract_x
_atom_site_fract_y
_atom_site_fract_z
Zr1 Zr 0.180 0.320 0.000
Tc1 Tc 0.130 0.630 0.500
Ni1 Ni 0.000 0.000 0.500
```



An optimized crystal structure of Zr3Tc2Ni. Source: the Alexandria database, functional GGA-PBE.

CIF file:
```
data_Zr3Tc2Ni
_cell_length_a 3.306
_cell_length_b 3.306
_cell_length_c 9.646
_cell_angle_alpha 90.00
_cell_angle_beta 90.00
_cell_angle_gamma 90.00
_symmetry_space_group_name_H-M 'P 4/m m m'
_symmetry_Int_Tables_number 123
_symmetry_space_group_name_Hall '-P 4 2'
loop_
_atom_site_label
_atom_site_type_symbol
_atom_site_fract_x
_atom_site_fract_y
_atom_site_fract_z
Zr1 Zr 0.000 0.000 0.000
Zr2 Zr 0.000 0.000 0.334
Tc1 Tc 0.500 0.500 0.175
Ni1 Ni 0.500 0.500 0.500
```



An optimized crystal structure of Zr2TcNi3. Source: the Alexandria database, functional GGA-PBE.

CIF file:
```
data_Zr2TcNi3
_cell_length_a 8.584
_cell_length_b 4.964
_cell_length_c 5.089
_cell_angle_alpha 90.00
_cell_angle_beta 124.23
_cell_angle_gamma 90.00
_symmetry_space_group_name_H-M 'C 1 2/m 1'
_symmetry_Int_Tables_number 12
loop_
_symmetry_equiv_pos_as_xyz
'x,y,z'
'-x,-y,-z'
'-x,y,-z'
'x,-y,z'
'x+1/2,y+1/2,z'
'-x+1/2,-y+1/2,-z'
'-x+1/2,y+1/2,-z'
'x+1/2,-y+1/2,z'
loop_
_atom_site_label
_atom_site_type_symbol
_atom_site_fract_x
_atom_site_fract_y
_atom_site_fract_z
Zr1 Zr 0.125 0.000 0.376
Tc1 Tc 0.000 0.500 0.500
Ni1 Ni 0.000 0.500 0.000
Ni2 Ni 0.250 0.250 0.000
```



# ZrTc2Ni2 | the Alexandria database | GGA-PBE | optimized geometry
# Energy above the most stable polymorph in this dataset ... 19.0 meV/atom
data_ZrTc2Ni2
_cell_length_a 6.541
_cell_length_b 6.541
_cell_length_c 3.432
_cell_angle_alpha 90.00
_cell_angle_beta 90.00
_cell_angle_gamma 90.00
_symmetry_space_group_name_H-M 'P 4/m b m'
_symmetry_Int_Tables_number 127
_symmetry_space_group_name_Hall '-P 4 2ab'
loop_
_atom_site_label
_atom_site_type_symbol
_atom_site_fract_x
_atom_site_fract_y
_atom_site_fract_z
Zr1 Zr 0.000 0.000 0.000
Tc1 Tc 0.159 0.341 0.500
Ni1 Ni 0.127 0.627 0.000



# ZrTc2Ni | the Alexandria database | GGA-PBE | optimized geometry
# Energy above the most stable polymorph in this dataset ... 253.2 meV/atom
data_ZrTc2Ni
_cell_length_a 2.8103
_cell_length_b 2.8103
_cell_length_c 27.2624
_cell_angle_alpha 90.00
_cell_angle_beta 90.00
_cell_angle_gamma 120.00
_symmetry_space_group_name_H-M 'R 3 m'
_symmetry_Int_Tables_number 160
_symmetry_space_group_name_Hall 'R 3 -2"'
loop_
_atom_site_label
_atom_site_type_symbol
_atom_site_fract_x
_atom_site_fract_y
_atom_site_fract_z
Zr1 Zr 0.0000 0.0000 0.0000
Tc1 Tc 0.0000 0.0000 0.2379
Tc2 Tc 0.0000 0.0000 0.4952
Ni1 Ni 0.0000 0.0000 0.7512



# ZrTc2Ni | the Alexandria database | GGA-PBE | optimized geometry
# Energy above the most stable polymorph in this dataset ... 135.9 meV/atom
data_ZrTc2Ni
_cell_length_a 5.339
_cell_length_b 9.090
_cell_length_c 2.730
_cell_angle_alpha 90.00
_cell_angle_beta 111.76
_cell_angle_gamma 90.00
_symmetry_space_group_name_H-M 'C 1 2/m 1'
_symmetry_Int_Tables_number 12
loop_
_symmetry_equiv_pos_as_xyz
'x,y,z'
'-x,-y,-z'
'-x,y,-z'
'x,-y,z'
'x+1/2,y+1/2,z'
'-x+1/2,-y+1/2,-z'
'-x+1/2,y+1/2,-z'
'x+1/2,-y+1/2,z'
loop_
_atom_site_label
_atom_site_type_symbol
_atom_site_fract_x
_atom_site_fract_y
_atom_site_fract_z
Zr1 Zr 0.000 0.000 0.000
Tc1 Tc 0.250 0.250 0.500
Ni1 Ni 0.000 0.500 0.000



# ZrTc2Ni | the Alexandria database | GGA-PBE | optimized geometry
# Energy above the most stable polymorph in this dataset ... 133.3 meV/atom
data_ZrTc2Ni
_cell_length_a 3.268
_cell_length_b 4.297
_cell_length_c 8.865
_cell_angle_alpha 90.00
_cell_angle_beta 90.00
_cell_angle_gamma 90.00
_symmetry_space_group_name_H-M 'I m m m'
_symmetry_Int_Tables_number 71
_symmetry_space_group_name_Hall '-I 2 2'
loop_
_atom_site_label
_atom_site_type_symbol
_atom_site_fract_x
_atom_site_fract_y
_atom_site_fract_z
Zr1 Zr 0.000 0.000 0.000
Tc1 Tc 0.000 0.500 0.248
Ni1 Ni 0.000 0.000 0.500



# ZrTc2Ni2 | the Alexandria database | GGA-PBE | optimized geometry
# Energy above the most stable polymorph in this dataset ... 0.0 meV/atom
data_ZrTc2Ni2
_cell_length_a 7.400
_cell_length_b 7.400
_cell_length_c 2.680
_cell_angle_alpha 90.00
_cell_angle_beta 90.00
_cell_angle_gamma 90.00
_symmetry_space_group_name_H-M 'P 4/m b m'
_symmetry_Int_Tables_number 127
_symmetry_space_group_name_Hall '-P 4 2ab'
loop_
_atom_site_label
_atom_site_type_symbol
_atom_site_fract_x
_atom_site_fract_y
_atom_site_fract_z
Zr1 Zr 0.000 0.000 0.000
Tc1 Tc 0.120 0.380 0.000
Ni1 Ni 0.176 0.676 0.500



What calculated formation energy values result from the calculations? In sequence: -0.04 -0.41 -0.34 0.05 0.16 0.04 0.04 0.03 eV per atom.
What electronic total energy values result from the calculations? In sequence: -87.7 -54.6 -93.7 -81.2 -103.3 -69.8 -69.8 -81.4 eV/cell.